A plane-wave DFT calculation with GGA+U was carried out for crystalline Li4MnCo2NiO8 at its relaxed geometry.

```
data_Li4MnCo2NiO8
_cell_length_a 5.117
_cell_length_b 2.884
_cell_length_c 9.681
_cell_angle_alpha 90.00
_cell_angle_beta 99.10
_cell_angle_gamma 90.00
_space_group_name_H-M_alt 'P 1 2/m 1'
_space_group_IT_number 10
loop_
_space_group_symop_operation_xyz
'x,y,z'
'-x,-y,-z'
'-x,y,-z'
'x,-y,z'
loop_
_atom_site_label
_atom_site_fract_x
_atom_site_fract_y
_atom_site_fract_z
Li1 0.241 0.000 0.242
Li2 0.249 0.500 0.764
Mn1 0.500 0.500 0.500
Co1 0.000 0.000 0.500
Co2 0.000 0.500 0.000
Ni1 0.500 0.000 0.000
O1 0.114 0.000 0.886
O2 0.150 0.500 0.389
O3 0.353 0.500 0.107
O4 0.394 0.000 0.616
```

Magnetization in μB/f.u.: 6.999
Uncorrected energy in eV/atom: -5.7019
DOS(E_F) in states/eV/cell: 3.35
Polymorph energy (0 for the lowest one) in meV per atom: 35.8